# PBE PmCdSb2Rh5, optimized geometry
# Volume, Å³ per cell: 178.2
# Total magnetic moment, μB/atom: 0.000
# DFT total energy, eV/atom: -5.854
# DOS(E_F), states/eV/f.u.: 6.83
data_PmCdSb2Rh5
_cell_length_a 4.403
_cell_length_b 4.403
_cell_length_c 9.195
_cell_angle_alpha 90.00
_cell_angle_beta 90.00
_cell_angle_gamma 90.00
_space_group_name_H-M_alt 'P 4/m m m'
_space_group_IT_number 123
_space_group_name_Hall '-P 4 2'
loop_
_atom_site_label
_atom_site_type_symbol
_atom_site_fract_x
_atom_site_fract_y
_atom_site_fract_z
Pm1 Pm 0.000 0.000 0.000
Cd1 Cd 0.000 0.000 0.500
Sb1 Sb 0.500 0.500 0.348
Rh1 Rh 0.000 0.500 0.215
Rh2 Rh 0.500 0.500 0.000

---

# PBE ErIn4AgSe8, optimized geometry
# Volume, Å³ per cell: 1168.3
# Total magnetic moment, μB/atom: 0.000
# DFT total energy, eV/atom: -3.999
# DOS(E_F), states/eV/f.u.: 6.90
data_ErIn4AgSe8
_cell_length_a 8.2013
_cell_length_b 8.2013
_cell_length_c 20.0568
_cell_angle_alpha 90.00
_cell_angle_beta 90.00
_cell_angle_gamma 120.00
_space_group_name_H-M_alt 'R 3 m'
_space_group_IT_number 160
_space_group_name_Hall 'R 3 -2"'
loop_
_atom_site_label
_atom_site_type_symbol
_atom_site_fract_x
_atom_site_fract_y
_atom_site_fract_z
Er1 Er 0.0000 0.0000 0.0000
In1 In 0.0000 0.0000 0.6166
In2 In 0.1750 0.3500 0.8232
Ag1 Ag 0.0000 0.0000 0.3654
Se1 Se 0.0000 0.0000 0.2344
Se2 Se 0.0000 0.0000 0.7531
Se3 Se 0.0120 0.5060 0.7467
Se4 Se 0.1779 0.3558 0.5726

---

# PBE V3Ga, optimized geometry
# Volume, Å³ per cell: 219.2
# Energy of formation from the pure elements, kJ/mol of formula units: -40
# Total magnetic moment, μB/atom: 0.000
# DOS(E_F), states/eV/f.u.: 2.94
data_V3Ga
_cell_length_a 6.029
_cell_length_b 6.029
_cell_length_c 6.029
_cell_angle_alpha 90.00
_cell_angle_beta 90.00
_cell_angle_gamma 90.00
_space_group_name_H-M_alt 'F m -3 m'
_space_group_IT_number 225
_space_group_name_Hall '-F 4 2 3'
loop_
_atom_site_label
_atom_site_type_symbol
_atom_site_fract_x
_atom_site_fract_y
_atom_site_fract_z
V1 V 0.000 0.000 0.000
V2 V 0.250 0.250 0.250
Ga1 Ga 0.000 0.000 0.500

---

# PBE Li2MoW, optimized geometry
# Volume, Å³ per cell: 124.9
# Energy of formation from the pure elements, kJ/mol of formula units: 170
# Total magnetic moment, μB/atom: 0.000
# DOS(E_F), states/eV/f.u.: 2.76
data_Li2MoW
_cell_length_a 2.949
_cell_length_b 4.279
_cell_length_c 9.898
_cell_angle_alpha 90.00
_cell_angle_beta 90.00
_cell_angle_gamma 90.00
_space_group_name_H-M_alt 'I m m m'
_space_group_IT_number 71
_space_group_name_Hall '-I 2 2'
loop_
_atom_site_label
_atom_site_type_symbol
_atom_site_fract_x
_atom_site_fract_y
_atom_site_fract_z
Li1 Li 0.000 0.000 0.250
Mo1 Mo 0.000 0.500 0.000
W1 W 0.000 0.500 0.500